Entry 1:
This record from Alexandria via LeMat-Bulk describes a geometry-optimized Ta4Nb3Rh2 structure. The functional is GGA-PBE.

abc: 8.020 8.020 5.103
angles: 98.36 98.36 82.58
Element x y z (fractional)
Ta1 0.154 0.500 0.400
Ta2 0.162 0.694 0.957
Ta3 0.306 0.838 0.543
Ta4 0.500 0.154 0.900
Ta5 0.500 0.846 0.100
Ta6 0.694 0.162 0.457
Ta7 0.838 0.306 0.043
Ta8 0.846 0.500 0.600
Nb1 0.035 0.169 0.516
Nb2 0.169 0.035 0.016
Nb3 0.495 0.505 0.750
Nb4 0.505 0.495 0.250
Nb5 0.831 0.965 0.984
Nb6 0.965 0.831 0.484
Rh1 0.205 0.362 0.911
Rh2 0.362 0.205 0.411
Rh3 0.638 0.795 0.589
Rh4 0.795 0.638 0.089

Values from the calculation:
ΔE_f ... -132 kJ/mol of formula units
M_tot ... 0.00 μB per cell
Symmetry ... No. 15
Density of states at the Fermi level ... 1.167 states/eV/atom

***

Entry 2:
This record from Alexandria via LeMat-Bulk describes a geometry-optimized TaNbRh5 structure. The functional is GGA-PBE.

abc: 4.005 4.005 7.092
angles: 90.00 90.00 90.00
Element x y z (fractional)
Ta1 0.000 0.000 0.000
Nb1 0.500 0.500 0.500
Rh1 0.000 0.000 0.500
Rh2 0.000 0.500 0.231
Rh3 0.000 0.500 0.769
Rh4 0.500 0.000 0.231
Rh5 0.500 0.000 0.769

Values from the calculation:
ΔE_f ... -184 kJ/mol of formula units
M_tot ... 0.00 μB per cell
Symmetry ... No. 123
Density of states at the Fermi level ... 1.054 states/eV/atom

***

Entry 3:
This record from Alexandria via LeMat-Bulk describes a geometry-optimized Ta3NbRh structure. The functional is GGA-PBE.

abc: 4.773 4.773 4.773
angles: 90.00 90.00 90.00
Element x y z (fractional)
Ta1 0.000 0.000 0.500
Ta2 0.000 0.500 0.000
Ta3 0.500 0.000 0.000
Nb1 0.500 0.500 0.500
Rh1 0.000 0.000 0.000

Values from the calculation:
ΔE_f ... 565 kJ/mol of formula units
M_tot ... 0.00 μB per cell
Symmetry ... No. 221
Density of states at the Fermi level ... 1.831 states/eV/atom

***

Entry 4:
This record from Alexandria via LeMat-Bulk describes a geometry-optimized Ta6Nb5Rh structure. The functional is GGA-PBE.

abc: 8.008 8.008 4.699
angles: 106.93 106.93 119.42
Element x y z (fractional)
Ta1 0.083 0.415 0.750
Ta2 0.248 0.248 0.248
Ta3 0.415 0.083 0.750
Ta4 0.585 0.917 0.250
Ta5 0.752 0.752 0.752
Ta6 0.917 0.585 0.250
Nb1 0.167 0.833 0.000
Nb2 0.335 0.665 0.500
Nb3 0.500 0.500 0.000
Nb4 0.665 0.335 0.500
Nb5 0.833 0.167 0.000
Rh1 0.000 0.000 0.500

Values from the calculation:
ΔE_f ... -146 kJ/mol of formula units
M_tot ... 0.00 μB per cell
Symmetry ... No. 12
Density of states at the Fermi level ... 1.192 states/eV/atom

***

Entry 5:
This record from Alexandria via LeMat-Bulk describes a geometry-optimized Ta3NbRh structure. The functional is GGA-PBE.

abc: 4.788 4.788 4.788
angles: 90.00 90.00 90.00
Element x y z (fractional)
Ta1 0.000 0.000 0.500
Ta2 0.000 0.500 0.000
Ta3 0.500 0.000 0.000
Nb1 0.000 0.000 0.000
Rh1 0.500 0.500 0.500

Values from the calculation:
ΔE_f ... 850 kJ/mol of formula units
M_tot ... 0.00 μB per cell
Symmetry ... No. 221
Density of states at the Fermi level ... 1.206 states/eV/atom

***

Entry 6:
This record from Alexandria via LeMat-Bulk describes a geometry-optimized Ta6Nb3Rh structure. The functional is GGA-PBE.

abc: 8.076 4.680 9.798
angles: 90.00 105.83 90.00
Element x y z (fractional)
Ta1 0.048 0.250 0.397
Ta2 0.149 0.750 0.195
Ta3 0.255 0.250 0.998
Ta4 0.351 0.250 0.300
Ta5 0.352 0.750 0.805
Ta6 0.449 0.250 0.602
Ta7 0.551 0.750 0.398
Ta8 0.648 0.250 0.195
Ta9 0.649 0.750 0.700
Ta10 0.745 0.750 0.002
Ta11 0.851 0.250 0.805
Ta12 0.952 0.750 0.603
Nb1 0.049 0.750 0.899
Nb2 0.151 0.250 0.701
Nb3 0.254 0.750 0.502
Nb4 0.746 0.250 0.498
Nb5 0.849 0.750 0.299
Nb6 0.951 0.250 0.101
Rh1 0.450 0.750 0.099
Rh2 0.550 0.250 0.901

Values from the calculation:
ΔE_f ... -126 kJ/mol of formula units
M_tot ... 0.00 μB per cell
Symmetry ... No. 11
Density of states at the Fermi level ... 1.130 states/eV/atom

***

Entry 7:
This record from Alexandria via LeMat-Bulk describes a geometry-optimized Ta4Nb5Rh2 structure. The functional is GGA-PBE.

abc: 10.483 10.483 7.237
angles: 108.64 108.64 15.52
Element x y z (fractional)
Ta1 0.032 0.032 0.196
Ta2 0.387 0.387 0.031
Ta3 0.613 0.613 0.969
Ta4 0.968 0.968 0.804
Nb1 0.180 0.180 0.384
Nb2 0.241 0.241 0.824
Nb3 0.500 0.500 0.500
Nb4 0.759 0.759 0.176
Nb5 0.820 0.820 0.616
Rh1 0.113 0.113 0.634
Rh2 0.887 0.887 0.366

Values from the calculation:
ΔE_f ... 126 kJ/mol of formula units
M_tot ... 0.00 μB per cell
Symmetry ... No. 12
Density of states at the Fermi level ... 0.919 states/eV/atom

***

Entry 8:
This record from Alexandria via LeMat-Bulk describes a geometry-optimized TaNbRh3 structure. The functional is GGA-PBE.

abc: 7.263 7.000 6.571
angles: 90.00 90.00 90.00
Element x y z (fractional)
Ta1 0.000 0.000 0.000
Ta2 0.000 0.500 0.000
Ta3 0.500 0.000 0.500
Ta4 0.500 0.500 0.500
Nb1 0.159 0.250 0.405
Nb2 0.341 0.750 0.905
Nb3 0.659 0.250 0.095
Nb4 0.841 0.750 0.595
Rh1 0.120 0.750 0.263
Rh2 0.147 0.553 0.643
Rh3 0.147 0.947 0.643
Rh4 0.353 0.053 0.143
Rh5 0.353 0.447 0.143
Rh6 0.380 0.250 0.763
Rh7 0.620 0.750 0.237
Rh8 0.647 0.553 0.857
Rh9 0.647 0.947 0.857
Rh10 0.853 0.053 0.357
Rh11 0.853 0.447 0.357
Rh12 0.880 0.250 0.737

Values from the calculation:
ΔE_f ... -115 kJ/mol of formula units
M_tot ... 0.00 μB per cell
Symmetry ... No. 62
Density of states at the Fermi level ... 0.764 states/eV/atom

***

Entry 9:
This record from Alexandria via LeMat-Bulk describes a geometry-optimized TaNb2Rh3 structure. The functional is GGA-PBE.

abc: 2.879 2.879 11.578
angles: 90.00 90.00 90.00
Element x y z (fractional)
Ta1 0.000 0.000 0.000
Nb1 0.000 0.000 0.333
Nb2 0.000 0.000 0.667
Rh1 0.500 0.500 0.164
Rh2 0.500 0.500 0.500
Rh3 0.500 0.500 0.836

Values from the calculation:
ΔE_f ... -256 kJ/mol of formula units
M_tot ... 0.00 μB per cell
Symmetry ... No. 123
Density of states at the Fermi level ... 0.865 states/eV/atom

***

Entry 10:
This record from Alexandria via LeMat-Bulk describes a geometry-optimized TaNbRh structure. The functional is GGA-PBE.

abc: 4.921 4.921 7.787
angles: 98.64 98.64 33.71
Element x y z (fractional)
Ta1 0.114 0.114 0.210
Ta2 0.886 0.886 0.790
Nb1 0.139 0.139 0.591
Nb2 0.861 0.861 0.409
Rh1 0.373 0.373 0.093
Rh2 0.627 0.627 0.907

Values from the calculation:
ΔE_f ... -45 kJ/mol of formula units
M_tot ... 0.00 μB per cell
Symmetry ... No. 12
Density of states at the Fermi level ... 0.911 states/eV/atom

***

Entry 11:
This record from Alexandria via LeMat-Bulk describes a geometry-optimized Ta3NbRh structure. The functional is GGA-PBE.

abc: 5.538 8.361 7.913
angles: 90.00 90.00 90.00
Element x y z (fractional)
Ta1 0.067 0.060 0.172
Ta2 0.067 0.440 0.172
Ta3 0.206 0.250 0.825
Ta4 0.294 0.750 0.325
Ta5 0.433 0.560 0.672
Ta6 0.433 0.940 0.672
Ta7 0.567 0.060 0.328
Ta8 0.567 0.440 0.328
Ta9 0.706 0.250 0.675
Ta10 0.794 0.750 0.175
Ta11 0.933 0.560 0.828
Ta12 0.933 0.940 0.828
Nb1 0.000 0.000 0.500
Nb2 0.000 0.500 0.500
Nb3 0.500 0.000 0.000
Nb4 0.500 0.500 0.000
Rh1 0.225 0.750 0.981
Rh2 0.275 0.250 0.481
Rh3 0.725 0.750 0.519
Rh4 0.775 0.250 0.019

Values from the calculation:
ΔE_f ... 43 kJ/mol of formula units
M_tot ... 0.00 μB per cell
Symmetry ... No. 62
Density of states at the Fermi level ... 0.968 states/eV/atom

***

Entry 12:
This record from Alexandria via LeMat-Bulk describes a geometry-optimized Ta2NbRh2 structure. The functional is GGA-PBE.

abc: 7.625 7.625 2.941
angles: 90.00 90.00 90.00
Element x y z (fractional)
Ta1 0.160 0.340 0.000
Ta2 0.340 0.840 0.000
Ta3 0.660 0.160 0.000
Ta4 0.840 0.660 0.000
Nb1 0.000 0.000 0.000
Nb2 0.500 0.500 0.000
Rh1 0.138 0.638 0.500
Rh2 0.362 0.138 0.500
Rh3 0.638 0.862 0.500
Rh4 0.862 0.362 0.500

Values from the calculation:
ΔE_f ... -111 kJ/mol of formula units
M_tot ... 0.00 μB per cell
Symmetry ... No. 127
Density of states at the Fermi level ... 0.908 states/eV/atom